Crystalline Hf2BePtSe at its relaxed geometry. Source: Alexandria, functional PBE.

abc: 4.883 4.883 4.648
angles: 90.00 90.00 90.00
Atoms (fractional coordinates):
Hf 0.000 0.500 0.000
Hf 0.500 0.000 0.000
Be 0.000 0.000 0.500
Pt 0.500 0.500 0.500
Se 0.500 0.500 0.000

Computed properties:
* E_form (uncorrected): 0.542 eV per atom
* symmetry: P4/mmm (123)
* ρ: 9.590 g/cm3
* D(E_F): 2.230 states/eV/f.u.
* crystal system: tetragonal